(1)
Hf3P: single point on PBEsol structure, SCAN.

Results
ΔH_f (0 K) in eV/atom: -0.856
Size of the total moment in Bohr magnetons per cell: 0.00

Unit cell a=10.570 b=10.570 c=5.246 alpha=90.00 beta=90.00 gamma=90.00
Atoms (fractional coordinates):
Hf 0.034 0.570 0.238
Hf 0.070 0.966 0.738
Hf 0.112 0.223 0.029
Hf 0.143 0.666 0.717
Hf 0.166 0.857 0.217
Hf 0.223 0.388 0.471
Hf 0.277 0.112 0.471
Hf 0.334 0.643 0.217
Hf 0.357 0.834 0.717
Hf 0.388 0.277 0.029
Hf 0.430 0.534 0.738
Hf 0.466 0.930 0.238
Hf 0.534 0.070 0.762
Hf 0.570 0.466 0.262
Hf 0.612 0.723 0.971
Hf 0.643 0.166 0.283
Hf 0.666 0.357 0.783
Hf 0.723 0.888 0.529
Hf 0.777 0.612 0.529
Hf 0.834 0.143 0.783
Hf 0.857 0.334 0.283
Hf 0.888 0.777 0.971
Hf 0.930 0.034 0.262
Hf 0.966 0.430 0.762
P 0.044 0.210 0.536
P 0.210 0.456 0.964
P 0.290 0.044 0.964
P 0.456 0.290 0.536
P 0.544 0.710 0.464
P 0.710 0.956 0.036
P 0.790 0.544 0.036
P 0.956 0.790 0.464

=====

(2)
CoSiBi2Ir: single point on PBEsol structure, SCAN.

Results
Size of the total moment in Bohr magnetons per cell: 2.58
Formation energy from raw total energies in eV per formula unit: 5.30

Unit cell a=5.223 b=5.223 c=4.598 alpha=90.00 beta=90.00 gamma=90.00
Atoms (fractional coordinates):
Co 0.000 0.000 0.000
Si 0.500 0.500 0.000
Bi 0.000 0.500 0.500
Bi 0.500 0.000 0.500
Ir 0.000 0.000 0.500

=====

(3)
Ta2AlCd: single point on PBEsol structure, SCAN.

Results
E above lowest polymorph in meV per atom: 111
ΔH_f (0 K) in eV/atom: 0.137
Size of the total moment in Bohr magnetons per cell: 0.00

Unit cell a=5.078 b=5.078 c=5.135 alpha=100.00 beta=100.00 gamma=32.93
Atoms (fractional coordinates):
Ta 0.000 0.000 0.000
Ta 0.740 0.740 0.200
Al 0.253 0.253 0.719
Cd 0.497 0.497 0.497

=====

(4)
Sr2MgZn: single point on PBEsol structure, SCAN.

Results
E above lowest polymorph in meV per atom: 40
ΔH_f (0 K) in eV/atom: -0.086
Size of the total moment in Bohr magnetons per cell: 0.04

Unit cell a=5.615 b=5.615 c=4.002 alpha=90.00 beta=90.00 gamma=90.00
Atoms (fractional coordinates):
Sr 0.000 0.500 0.000
Sr 0.500 0.000 0.000
Mg 0.000 0.000 0.500
Zn 0.500 0.500 0.500